## HWN2F (PBE+U)

Data for a relaxed HWN2F crystal.

Calculated values
Total energy in hartree per atom: -0.1781
V in A^3/atom: 8.0
Size of the total moment in μB/cell: 1.67
Fermi-level density of states in states/eV per cell: 1.8
Offset from the most stable computed form in meV per atom: 650.8

Unit cell a=3.3824 b=3.3824 c=3.5152 alpha=90.00 beta=90.00 gamma=90.00
Last column: nearest neighbours and their distance in Å.
Fractional positions:
H1 0.0000 0.0000 0.0000  4 N 1.69, 2 F 1.76
W1 0.5000 0.5000 0.5000  4 F 2.39, 8 N 2.44
N1 0.0000 0.5000 0.0000  2 H 1.69
N2 0.5000 0.0000 0.0000  2 H 1.69
F1 0.0000 0.0000 0.5000  2 H 1.76